A plane-wave DFT calculation with PBE-GGA was carried out for crystalline ZrV2Ru at its relaxed geometry.

The space group is I-42d (No. 122) and the conventional cell measures 7.1206, 7.1206 and 5.3753 Å, with angles of 90.00, 90.00 and 90.00 degrees. The inequivalent atoms are Zr at (0.0000, 0.0000, 0.0000), V at (0.2095, 0.2500, 0.6250) and Ru at (0.0000, 0.0000, 0.5000).

Its total magnetization is 0.0 μB per formula unit. Its density of states at the Fermi level is 19.0 states/eV per cell. Its formation energy is 0.29 eV per atom.

***

A plane-wave DFT calculation with PBE-GGA was carried out for crystalline ZrVRu at its relaxed geometry.

The space group is Immm (No. 71) and the conventional cell measures 3.1859, 4.3006 and 14.7796 Å, with angles of 90.00, 90.00 and 90.00 degrees. The inequivalent atoms are Zr at (0.0000, 0.0000, 0.1751), V at (0.0000, 0.5000, 0.0000), V at (0.0000, 0.5000, 0.5000) and Ru at (0.0000, 0.0000, 0.3673).

Its total magnetization is 0.1 μB per formula unit. Its density of states at the Fermi level is 12.9 states/eV per cell. Its formation energy is -0.24 eV per atom. The energy above the lowest structure with this stoichiometry comes out at 169 meV/atom.

***

A plane-wave DFT calculation with PBE-GGA was carried out for crystalline Zr2VRu at its relaxed geometry.

The space group is I-42d (No. 122) and the conventional cell measures 7.3163, 7.3163 and 5.7799 Å, with angles of 90.00, 90.00 and 90.00 degrees. The inequivalent atoms are Zr at (0.2283, 0.2500, 0.1250), V at (0.0000, 0.0000, 0.5000) and Ru at (0.0000, 0.0000, 0.0000).

Its total magnetization is 1.8 μB per formula unit. Its density of states at the Fermi level is 19.3 states/eV per cell. Its formation energy is 0.32 eV per atom.

***

Raw total energy readings, ordered: -8.7296; -9.2191; -8.5556 eV per atom